1.
A plane-wave DFT calculation with GGA-PBE was carried out for a relaxed structure of Zn2InPt.

Geometry as POSCAR:
```
Zn2InPt
1.0
7.819 0.000 0.000
0.000 7.819 0.000
3.909 3.909 2.626
Zn Pt In
4 2 2
Direct
0.682 0.125 0.250 Zn
0.068 0.625 0.250 Zn
0.375 0.318 0.750 Zn
0.875 0.932 0.750 Zn
0.000 0.000 0.000 Pt
0.750 0.250 0.500 Pt
0.500 0.500 0.000 In
0.250 0.750 0.500 In
```

E_form (kJ/mol of formula units): -34
Space-group type: I-42d, No. 122
M_tot (μB/cell): 0.00
Density (g/cm³): 9.12

---

2.
A plane-wave DFT calculation with GGA-PBE was carried out for a relaxed structure of AcPrAgTe.

Geometry as POSCAR:
```
AcPrAgTe
1.0
-2.263 -2.572 4.398
-0.072 -5.569 0.240
3.260 -2.675 3.646
Pr Ac Te Ag
1 1 1 1
Direct
0.000 0.000 0.000 Pr
0.500 0.500 0.500 Ac
0.750 0.750 0.750 Te
0.250 0.250 0.250 Ag
```

Space-group type: F-43m, No. 216
M_tot (μB/cell): 1.03
Density (g/cm³): 8.18
Energy relative to the elements, uncorrected (meV per atom): -637

---

3.
A plane-wave DFT calculation with GGA-PBE was carried out for a relaxed structure of MgInTc.

Geometry as POSCAR:
```
MgInTc
1.0
7.155 0.001 -0.001
6.449 2.819 0.013
0.707 -0.427 2.786
In Mg Tc
1 1 1
Direct
0.989 0.989 0.011 In
0.681 0.681 0.319 Mg
0.331 0.331 0.669 Tc
```

E_form (kJ/mol of formula units): 86
Space-group type: Fmm2, No. 42
M_tot (μB/cell): 0.00
Density (g/cm³): 7.00

---

4.
A plane-wave DFT calculation with GGA-PBE was carried out for a relaxed structure of NpUSiGe.

Geometry as POSCAR:
```
NpUSiGe
1.0
-2.475 1.723 2.390
-3.007 0.467 -3.450
-0.450 -3.921 2.360
Np U Si Ge
1 1 1 1
Direct
0.000 0.523 0.293 Np
0.000 0.023 0.793 U
0.500 0.523 0.793 Si
0.500 0.023 0.293 Ge
```

Space-group type: P2/m, No. 10
M_tot (μB/cell): 0.31
Density (g/cm³): 12.86
Energy relative to the elements, uncorrected (meV per atom): -84

---

5.
A plane-wave DFT calculation with GGA-PBE was carried out for a relaxed structure of AcSm5DyHo2.

Geometry as POSCAR:
```
AcSm5DyHo2
1.0
-3.423 0.066 4.359
7.916 -9.168 2.830
5.632 6.199 4.328
Ac Sm Dy Ho
2 10 2 4
Direct
0.602 0.204 0.927 Ac
0.398 0.796 0.427 Ac
0.395 0.789 0.030 Sm
0.742 0.484 0.863 Sm
0.476 0.951 0.752 Sm
0.309 0.619 0.724 Sm
0.009 0.019 0.531 Sm
0.605 0.211 0.530 Sm
0.258 0.516 0.363 Sm
0.524 0.049 0.252 Sm
0.691 0.381 0.224 Sm
0.991 0.981 0.031 Sm
0.761 0.522 0.537 Dy
0.239 0.478 0.037 Dy
0.887 0.775 0.783 Ho
0.173 0.346 0.677 Ho
0.113 0.225 0.283 Ho
0.827 0.654 0.177 Ho
```

E_form (kJ/mol of formula units): 128
Space-group type: Cmc2_1, No. 36
M_tot (μB/cell): 0.00
Density (g/cm³): 7.71

---

6.
A plane-wave DFT calculation with GGA-PBE was carried out for a relaxed structure of LaGa3Pd2.

Geometry as POSCAR:
```
LaGa3Pd2
1.0
5.604 0.000 0.000
0.000 6.464 0.044
0.000 -1.256 6.341
La Ga Pd
2 6 4
Direct
0.250 0.336 0.336 La
0.750 0.664 0.664 La
0.750 0.455 0.112 Ga
0.750 0.112 0.455 Ga
0.250 0.545 0.888 Ga
0.750 0.051 0.051 Ga
0.250 0.949 0.949 Ga
0.250 0.888 0.545 Ga
0.500 0.785 0.215 Pd
0.000 0.785 0.215 Pd
0.000 0.215 0.785 Pd
0.500 0.215 0.785 Pd
```

E_form (kJ/mol of formula units): -417
Space-group type: Cmcm, No. 63
M_tot (μB/cell): 0.00
Density (g/cm³): 8.10

---

7.
A plane-wave DFT calculation with GGA-PBE was carried out for a relaxed structure of UCo2Ir.

Geometry as POSCAR:
```
UCo2Ir
1.0
4.461 0.000 0.000
2.230 3.863 0.000
2.230 1.288 3.473
Co Ir U
2 1 1
Direct
0.217 0.217 0.350 Co
0.783 0.783 0.650 Co
0.500 0.500 0.500 Ir
0.000 0.000 0.000 U
```

E_form (kJ/mol of formula units): -76
Space-group type: R-3m, No. 166
M_tot (μB/cell): 0.00
Density (g/cm³): 15.21

---

8.
A plane-wave DFT calculation with GGA-PBE was carried out for a relaxed structure of InFeSb.

Geometry as POSCAR:
```
InFeSb
1.0
-4.382 3.644 -3.593
-4.505 0.869 -4.934
-2.693 -0.556 1.397
Fe In Sb
1 1 1
Direct
0.994 0.994 0.006 Fe
0.631 0.631 0.369 In
0.375 0.375 0.625 Sb
```

Space-group type: I4mm, No. 107
M_tot (μB/cell): 0.00
Density (g/cm³): 8.01
Energy relative to the elements, uncorrected (meV per atom): 255

---

9.
A plane-wave DFT calculation with GGA-PBE was carried out for a relaxed structure of PrPu2Pt2.

Geometry as POSCAR:
```
PrPu2Pt2
1.0
4.140 0.000 0.000
-2.070 6.826 0.000
0.000 0.000 9.054
Pr Pu Pt
2 4 4
Direct
0.404 0.808 0.350 Pr
0.596 0.192 0.850 Pr
0.314 0.629 0.966 Pu
0.686 0.371 0.466 Pu
0.112 0.225 0.207 Pu
0.888 0.775 0.707 Pu
0.240 0.480 0.669 Pt
0.760 0.520 0.169 Pt
0.958 0.916 0.013 Pt
0.042 0.084 0.513 Pt
```

E_form (kJ/mol of formula units): -305
Space-group type: Cmc2_1, No. 36
M_tot (μB/cell): 0.40
Density (g/cm³): 13.23

---

10.
A plane-wave DFT calculation with GGA-PBE was carried out for a relaxed structure of Y3TcP.

Geometry as POSCAR:
```
Y3TcP
1.0
5.207 0.000 0.000
0.000 5.207 0.000
0.000 0.000 5.207
Y P Tc
3 1 1
Direct
0.000 0.500 0.000 Y
0.000 0.000 0.500 Y
0.500 0.000 0.000 Y
0.000 0.000 0.000 P
0.500 0.500 0.500 Tc
```

E_form (kJ/mol of formula units): 33
Space-group type: Pm-3m, No. 221
M_tot (μB/cell): 0.71
Density (g/cm³): 4.66

---

11.
A plane-wave DFT calculation with GGA-PBE was carried out for a relaxed structure of BaAgRh3.

Geometry as POSCAR:
```
BaAgRh3
1.0
-3.921 0.745 -3.107
0.702 -4.597 -1.989
-3.117 -1.973 3.461
Rh Ba Ag
3 1 1
Direct
0.000 0.500 0.000 Rh
0.000 0.000 0.500 Rh
0.500 0.000 0.000 Rh
0.000 0.000 0.000 Ba
0.500 0.500 0.500 Ag
```

E_form (kJ/mol of formula units): 855
Space-group type: Pm-3m, No. 221
M_tot (μB/cell): 0.92
Density (g/cm³): 7.11

---

12.
A plane-wave DFT calculation with GGA-PBE was carried out for a relaxed structure of ReSbP2O.

Geometry as POSCAR:
```
ReSbP2O
1.0
-2.829 2.522 3.041
-0.271 -3.855 2.946
3.029 1.187 1.833
Re O P Sb
1 1 2 1
Direct
0.000 0.000 0.000 Re
0.000 0.000 0.500 O
0.000 0.500 0.000 P
0.500 0.000 0.000 P
0.500 0.500 0.500 Sb
```

Space-group type: P4/mmm, No. 123
M_tot (μB/cell): 0.00
Density (g/cm³): 7.27
Energy relative to the elements, uncorrected (meV per atom): -96

---

13.
A plane-wave DFT calculation with GGA-PBE was carried out for a relaxed structure of NaLa2ZnRh.

Geometry as POSCAR:
```
NaLa2ZnRh
1.0
5.517 0.000 0.000
0.000 5.517 0.000
0.000 0.000 5.077
Na Zn Rh La
1 1 1 2
Direct
0.500 0.500 0.500 Na
0.000 0.000 0.500 Zn
0.000 0.000 0.000 Rh
0.000 0.500 0.000 La
0.500 0.000 0.000 La
```

E_form (kJ/mol of formula units): -129
Space-group type: P4/mmm, No. 123
M_tot (μB/cell): 0.00
Density (g/cm³): 5.04

---

14.
A plane-wave DFT calculation with GGA-PBE was carried out for a relaxed structure of Nb6Ga3Sn.

Geometry as POSCAR:
```
Nb6Ga3Sn
1.0
-2.796 -6.428 -3.311
4.260 -3.739 3.662
-5.264 -1.395 4.699
Nb Ga Sn
12 6 2
Direct
0.644 0.118 0.948 Nb
0.712 0.193 0.564 Nb
0.807 0.359 0.212 Nb
0.193 0.641 0.788 Nb
0.288 0.807 0.436 Nb
0.356 0.882 0.052 Nb
0.144 0.382 0.448 Nb
0.212 0.307 0.064 Nb
0.307 0.141 0.712 Nb
0.693 0.859 0.288 Nb
0.788 0.693 0.936 Nb
0.856 0.618 0.552 Nb
0.552 0.837 0.700 Ga
0.500 0.500 0.000 Ga
0.448 0.163 0.300 Ga
0.052 0.663 0.200 Ga
0.000 0.000 0.500 Ga
0.948 0.337 0.800 Ga
0.500 0.500 0.500 Sn
0.000 0.000 0.000 Sn
```

E_form (kJ/mol of formula units): 19
Space-group type: P2_1/c, No. 14
M_tot (μB/cell): 0.00
Density (g/cm³): 7.90

---

15.
A plane-wave DFT calculation with GGA-PBE was carried out for a relaxed structure of CaSi2Br.

Geometry as POSCAR:
```
CaSi2Br
1.0
3.509 0.000 0.000
0.000 3.509 0.000
0.000 0.000 8.101
Br Ca Si
1 1 2
Direct
0.000 0.000 0.566 Br
0.500 0.500 0.759 Ca
0.000 0.000 0.051 Si
0.500 0.500 0.124 Si
```

Space-group type: P4mm, No. 99
M_tot (μB/cell): 0.00
Density (g/cm³): 2.93
Energy relative to the elements, uncorrected (meV per atom): -425

---

16.
A plane-wave DFT calculation with GGA-PBE was carried out for a relaxed structure of CaTa4Si.

Geometry as POSCAR:
```
CaTa4Si
1.0
-2.672 -3.839 3.063
-3.733 1.595 3.846
-5.448 -0.944 -0.832
Ca Ta Si
1 4 1
Direct
0.750 0.750 0.750 Ca
0.868 0.377 0.377 Ta
0.377 0.377 0.868 Ta
0.377 0.868 0.377 Ta
0.377 0.377 0.377 Ta
0.000 0.000 0.000 Si
```

Space-group type: F-43m, No. 216
M_tot (μB/cell): 0.00
Density (g/cm³): 10.64
Energy relative to the elements, uncorrected (meV per atom): 618

---

17.
A plane-wave DFT calculation with GGA-PBE was carried out for a relaxed structure of ErTl5S4.

Geometry as POSCAR:
```
ErTl5S4
1.0
3.963 0.000 -0.872
0.284 8.400 1.292
-0.026 1.393 9.327
Er Tl S
1 5 4
Direct
0.500 0.000 0.000 Er
0.843 0.807 0.685 Tl
0.817 0.307 0.635 Tl
0.183 0.693 0.365 Tl
0.500 0.500 0.000 Tl
0.157 0.193 0.315 Tl
0.345 0.045 0.691 S
0.019 0.773 0.039 S
0.655 0.955 0.309 S
0.981 0.227 0.961 S
```

Space-group type: C2/m, No. 12
M_tot (μB/cell): 0.00
Density (g/cm³): 7.22
Energy relative to the elements, uncorrected (meV per atom): -790

---

18.
A plane-wave DFT calculation with GGA-PBE was carried out for a relaxed structure of Pm3Al7Pt4.

Geometry as POSCAR:
```
Pm3Al7Pt4
1.0
4.172 0.000 1.053
1.526 7.624 2.747
0.084 0.110 8.463
Pm Al Pt
3 7 4
Direct
0.310 0.187 0.194 Pm
0.690 0.813 0.806 Pm
0.000 0.500 0.500 Pm
0.318 0.836 0.528 Al
0.497 0.215 0.791 Al
0.844 0.387 0.925 Al
0.682 0.164 0.472 Al
0.156 0.613 0.075 Al
0.000 0.000 0.000 Al
0.503 0.785 0.209 Al
0.659 0.464 0.218 Pt
0.341 0.536 0.782 Pt
0.881 0.893 0.344 Pt
0.119 0.107 0.656 Pt
```

E_form (kJ/mol of formula units): -1333
Space-group type: C2/m, No. 12
M_tot (μB/cell): 0.00
Density (g/cm³): 8.72

---

19.
A plane-wave DFT calculation with GGA-PBE was carried out for a relaxed structure of TbSmYSc.

Geometry as POSCAR:
```
TbSmYSc
1.0
5.582 0.000 0.000
2.791 4.834 0.000
2.791 1.611 4.557
Y Sc Tb Sm
1 1 1 1
Direct
0.750 0.750 0.750 Y
0.000 0.000 0.000 Sc
0.500 0.500 0.500 Tb
0.250 0.250 0.250 Sm
```

E_form (kJ/mol of formula units): 51
Space-group type: F-43m, No. 216
M_tot (μB/cell): 0.00
Density (g/cm³): 5.98

---

20.
A plane-wave DFT calculation with GGA-PBE was carried out for a relaxed structure of FeRuW2.

Geometry as POSCAR:
```
FeRuW2
1.0
-8.051 1.404 4.287
-6.857 -0.189 6.174
-6.390 2.514 6.166
Fe Ru W
1 1 2
Direct
0.497 0.497 0.497 Fe
0.753 0.753 0.753 Ru
0.004 0.004 0.004 W
0.246 0.246 0.246 W
```

E_form (kJ/mol of formula units): 111
Space-group type: R3m, No. 160
M_tot (μB/cell): 2.44
Density (g/cm³): 14.70

---

21.
A plane-wave DFT calculation with GGA-PBE was carried out for a relaxed structure of Ga5CoNi.

Geometry as POSCAR:
```
Ga5CoNi
1.0
-3.585 0.868 -4.902
-5.380 -2.889 0.586
-6.535 5.656 1.735
Ga Co Ni
10 2 2
Direct
0.777 0.727 0.126 Ga
0.316 0.667 0.451 Ga
0.727 0.777 0.626 Ga
0.927 0.073 0.250 Ga
0.333 0.684 0.049 Ga
0.667 0.316 0.951 Ga
0.073 0.927 0.750 Ga
0.273 0.223 0.374 Ga
0.684 0.333 0.549 Ga
0.223 0.273 0.874 Ga
0.000 0.000 0.000 Co
0.000 0.000 0.500 Co
0.565 0.435 0.250 Ni
0.435 0.565 0.750 Ni
```

E_form (kJ/mol of formula units): -48
Space-group type: C2/c, No. 15
M_tot (μB/cell): 0.00
Density (g/cm³): 5.60

---

22.
A plane-wave DFT calculation with GGA-PBE was carried out for a relaxed structure of Na2SnAu2.

Geometry as POSCAR:
```
Na2SnAu2
1.0
8.513 0.000 0.000
0.000 8.513 0.000
0.000 0.000 3.106
Na Au Sn
4 4 2
Direct
0.373 0.873 0.000 Na
0.873 0.627 0.000 Na
0.627 0.127 0.000 Na
0.127 0.373 0.000 Na
0.170 0.670 0.500 Au
0.670 0.830 0.500 Au
0.830 0.330 0.500 Au
0.330 0.170 0.500 Au
0.000 0.000 0.000 Sn
0.500 0.500 0.000 Sn
```

E_form (kJ/mol of formula units): -55
Space-group type: P4/mbm, No. 127
M_tot (μB/cell): 0.00
Density (g/cm³): 8.24

---

23.
A plane-wave DFT calculation with GGA-PBE was carried out for a relaxed structure of CeAg4Bi.

Geometry as POSCAR:
```
CeAg4Bi
1.0
-1.685 -4.063 3.715
2.958 -4.921 0.421
3.138 -1.079 4.704
Ag Bi Ce
4 1 1
Direct
0.625 0.625 0.126 Ag
0.625 0.126 0.625 Ag
0.625 0.625 0.625 Ag
0.126 0.625 0.625 Ag
0.000 0.000 0.000 Bi
0.250 0.250 0.250 Ce
```

E_form (kJ/mol of formula units): -78
Space-group type: F-43m, No. 216
M_tot (μB/cell): 1.26
Density (g/cm³): 9.61

---

24.
A plane-wave DFT calculation with GGA-PBE was carried out for a relaxed structure of YTa2Se.

Geometry as POSCAR:
```
YTa2Se
1.0
4.439 0.000 0.000
0.000 3.374 0.096
0.000 1.538 5.632
Se Ta Y
1 2 1
Direct
0.500 0.944 0.739 Se
0.000 0.781 0.059 Ta
0.500 0.249 0.125 Ta
0.000 0.526 0.577 Y
```

Space-group type: Pm, No. 6
M_tot (μB/cell): 0.00
Density (g/cm³): 10.51
Energy relative to the elements, uncorrected (meV per atom): -202

---

25.
A plane-wave DFT calculation with GGA-PBE was carried out for a relaxed structure of Ac2PaNi9.

Geometry as POSCAR:
```
Ac2PaNi9
1.0
-3.533 -0.980 -3.407
-1.774 -4.654 -0.498
-7.916 -0.163 4.578
Ac Pa Ni
2 1 9
Direct
0.865 0.865 0.405 Ac
0.135 0.135 0.595 Ac
0.000 0.000 0.000 Pa
0.667 0.667 0.999 Ni
0.333 0.333 0.001 Ni
0.500 0.500 0.500 Ni
0.424 0.424 0.229 Ni
0.923 0.424 0.229 Ni
0.424 0.923 0.229 Ni
0.576 0.576 0.771 Ni
0.576 0.077 0.771 Ni
0.077 0.576 0.771 Ni
```

E_form (kJ/mol of formula units): -282
Space-group type: R-3m, No. 166
M_tot (μB/cell): 0.00
Density (g/cm³): 10.70

---

| no. | volume (Å³ per cell) |
| --- | --- |
| 1 | 161 |
| 2 | 123 |
| 3 | 56 |
| 4 | 74 |
| 5 | 634 |
| 6 | 230 |
| 7 | 60 |
| 8 | 61 |
| 9 | 256 |
| 10 | 141 |
| 11 | 129 |
| 12 | 88 |
| 13 | 155 |
| 14 | 372 |
| 15 | 100 |
| 16 | 124 |
| 17 | 303 |
| 18 | 267 |
| 19 | 123 |
| 20 | 59 |
| 21 | 276 |
| 22 | 225 |
| 23 | 135 |
| 24 | 84 |
| 25 | 188 |